Entry 1:
Zr2ZnInCo2Ir2: optimized geometry, PBE.

abc: 4.4821 4.4821 6.3420
angles: 90.00 90.00 90.00
Closest atoms and distances in Å follow each position.
Sites, in units of the cell vectors:
Zn  0.5000  0.5000  0.5000  4 Ir 2.72, 4 Co 2.72
Co  0.5000  0.0000  0.2572  2 Zn 2.72, 4 Zr 2.72-2.77, 2 In 2.77
Co  0.0000  0.5000  0.7428  2 Zn 2.72, 4 Zr 2.72-2.77, 2 In 2.77
Ir  0.0000  0.5000  0.2581  2 Zn 2.72, 4 Zr 2.72-2.78, 2 In 2.78
Zr  0.5000  0.5000  0.0000  4 Co 2.77, 4 Ir 2.78
Zr  0.0000  0.0000  0.5000  4 Ir 2.72, 4 Co 2.72
In  0.0000  0.0000  0.0000  4 Co 2.77, 4 Ir 2.78
Ir  0.5000  0.0000  0.7419  2 Zn 2.72, 4 Zr 2.72-2.78, 2 In 2.78

Properties
Uncorrected energy, eV/atom: -7.0581
Calculated density, g/cm³: 11.27
Space-group type: P-4m2 (115)

Entry 2:
Be2MoAu: optimized geometry, PBE.

abc: 4.2731 4.2731 4.2731
angles: 60.00 60.00 60.00
Closest atoms and distances in Å follow each position.
Sites, in units of the cell vectors:
Au  0.5000  0.5000  0.5000  4 Mo 2.62, 4 Be 2.62
Be  0.0000  0.0000  0.0000  4 Mo 2.62, 4 Be 2.62
Mo  0.7500  0.7500  0.7500  4 Au 2.62, 4 Be 2.62
Be  0.2500  0.2500  0.2500  4 Au 2.62, 4 Be 2.62

Properties
Uncorrected energy, eV/atom: -4.9210
Calculated density, g/cm³: 9.36
Space-group type: F-43m (216)

Entry 3:
Nb4GaAsC2: optimized geometry, PBE.

abc: 3.2554 3.2554 12.7795
angles: 90.00 90.00 120.00
Closest atoms and distances in Å follow each position.
Sites, in units of the cell vectors:
Ga  0.6667  0.3333  0.0000  6 Nb 2.84
Nb  0.3333  0.6667  0.8333  3 C 2.20
C  0.0000  0.0000  0.2568  6 Nb 2.20-2.23
Nb  0.6667  0.3333  0.6490  3 C 2.23
C  0.0000  0.0000  0.7432  6 Nb 2.20-2.23
As  0.3333  0.6667  0.5000  6 Nb 2.68
Nb  0.3333  0.6667  0.1667  3 C 2.20
Nb  0.6667  0.3333  0.3510  3 C 2.23

Properties
Uncorrected energy, eV/atom: -8.8764
Calculated density, g/cm³: 7.65
Space-group type: P-6m2 (187)

Entry 4:
LiLuGaAu: optimized geometry, PBE.

abc: 4.7442 4.7442 4.7442
angles: 60.00 60.00 60.00
Closest atoms and distances in Å follow each position.
Sites, in units of the cell vectors:
Au  0.7500  0.7500  0.7500  4 Li 2.91, 4 Lu 2.91
Ga  0.2500  0.2500  0.2500  4 Li 2.91, 4 Lu 2.91
Lu  0.5000  0.5000  0.5000  4 Au 2.91, 4 Ga 2.91
Li  0.0000  0.0000  0.0000  4 Au 2.91, 4 Ga 2.91

Properties
Uncorrected energy, eV/atom: -3.7587
Polymorph energy (0 for the lowest one), meV per atom: 37
Calculated density, g/cm³: 9.87
Space-group type: F-43m (216)

Repeat the first record exactly.
Zr2ZnInCo2Ir2: optimized geometry, PBE.

abc: 4.4821 4.4821 6.3420
angles: 90.00 90.00 90.00
Closest atoms and distances in Å follow each position.
Sites, in units of the cell vectors:
Zn  0.5000  0.5000  0.5000  4 Ir 2.72, 4 Co 2.72
Co  0.5000  0.0000  0.2572  2 Zn 2.72, 4 Zr 2.72-2.77, 2 In 2.77
Co  0.0000  0.5000  0.7428  2 Zn 2.72, 4 Zr 2.72-2.77, 2 In 2.77
Ir  0.0000  0.5000  0.2581  2 Zn 2.72, 4 Zr 2.72-2.78, 2 In 2.78
Zr  0.5000  0.5000  0.0000  4 Co 2.77, 4 Ir 2.78
Zr  0.0000  0.0000  0.5000  4 Ir 2.72, 4 Co 2.72
In  0.0000  0.0000  0.0000  4 Co 2.77, 4 Ir 2.78
Ir  0.5000  0.0000  0.7419  2 Zn 2.72, 4 Zr 2.72-2.78, 2 In 2.78

Properties
Uncorrected energy, eV/atom: -7.0581
Calculated density, g/cm³: 11.27
Space-group type: P-4m2 (115)